Compound: LiMg5InGa2
Source: the Alexandria database
Functional: PBE
Structure: relaxed

Unit cell a=8.7900 b=8.7900 c=8.7900 alpha=129.98 beta=129.98 gamma=73.44
Last column: nearest neighbours and their distance in Å.
Fractional positions:
Li1 0.2500 0.7500 0.5000  4 Mg 2.75
Li2 0.7500 0.2500 0.5000  4 Mg 2.75
Mg1 0.0000 0.0000 0.0000  4 Ga 3.00, 8 Mg 3.23
Mg2 0.0767 0.5767 0.9117  1 Ga 2.63, 1 Li 2.75
Mg3 0.1650 0.0767 0.5000  1 Ga 2.63, 1 Li 2.75
Mg4 0.3350 0.8350 0.9117  1 Ga 2.63, 1 Li 2.75
Mg5 0.4233 0.3350 0.5000  1 Ga 2.63, 1 Li 2.75
Mg6 0.5000 0.5000 0.0000  4 Ga 3.00, 8 Mg 3.23
Mg7 0.5767 0.6650 0.5000  1 Ga 2.63, 1 Li 2.75
Mg8 0.6650 0.1650 0.0883  1 Ga 2.63, 1 Li 2.75
Mg9 0.8350 0.9233 0.5000  1 Ga 2.63, 1 Li 2.75
Mg10 0.9233 0.4233 0.0883  1 Ga 2.63, 1 Li 2.75
In1 0.2500 0.2500 0.0000  10 Mg 3.17-3.52
In2 0.7500 0.7500 0.0000  10 Mg 3.17-3.52
Ga1 0.1133 0.3867 0.5000  1 Ga 2.38, 2 Mg 2.63
Ga2 0.3867 0.8867 0.2734  1 Ga 2.38, 2 Mg 2.63
Ga3 0.6133 0.1133 0.7266  1 Ga 2.38, 2 Mg 2.63
Ga4 0.8867 0.6133 0.5000  1 Ga 2.38, 2 Mg 2.63

Values from the calculation:
Its formation energy is -0.04 eV/atom. Its space group is I4/mcm (140). As for the crystal system: tetragonal. As for the density of states at the Fermi level: 2.44 states/eV/f.u.